# 1
First-principles (meta-GGA SCAN) data for a PBEsol-optimized structure of Os3C, as listed in Alexandria via LeMat-Bulk.

Structure (POSCAR):
```
Os3C
1.0
-0.886 -2.549 0.658
0.193 0.758 -2.665
6.733 -2.389 -0.191
Os C
3 1
Direct
0.333 0.667 0.195
0.000 0.000 0.500
0.333 0.667 0.805
0.000 0.000 0.000
```

Values from the calculation:
Energy of formation (meV/atom): 389
Energy above the lowest structure with this stoichiometry (meV per atom): 0
SG: P-6m2, No. 187

# 2
First-principles (meta-GGA SCAN) data for a PBEsol-optimized structure of Os3C2, as listed in Alexandria via LeMat-Bulk.

Structure (POSCAR):
```
Os3C2
1.0
2.756 0.000 0.000
1.378 2.387 0.000
1.378 0.796 8.188
Os C
3 2
Direct
0.786 0.786 0.642
0.214 0.214 0.358
0.000 0.000 0.000
0.396 0.396 0.812
0.604 0.604 0.188
```

Values from the calculation:
Energy of formation (meV/atom): 1071
SG: R-3m, No. 166

# 3
First-principles (meta-GGA SCAN) data for a PBEsol-optimized structure of OsC3, as listed in Alexandria via LeMat-Bulk.

Structure (POSCAR):
```
OsC3
1.0
4.007 0.000 0.000
0.000 4.007 0.000
0.000 0.000 4.007
C Os
6 2
Direct
0.750 0.500 0.000
0.000 0.250 0.500
0.500 0.000 0.750
0.500 0.000 0.250
0.250 0.500 0.000
0.000 0.750 0.500
0.500 0.500 0.500
0.000 0.000 0.000
```

Values from the calculation:
Energy of formation (meV/atom): 2600
Energy above the lowest structure with this stoichiometry (meV per atom): 14
SG: Pm-3n, No. 223